1.
VASP calculation (PBE) on a relaxed structure of NiAs.

Output
The total energy is -5.3122 eV/atom. The calculation puts the density of states at the Fermi level at 1.016 states/eV/f.u.

abc: 8.2361 8.2361 3.8410
angles: 90.00 90.00 90.00
Atoms (fractional coordinates):
Ni 0.4102 0.1224 0.0000
Ni 0.5898 0.8776 0.0000
Ni 0.8776 0.4102 0.0000
Ni 0.1224 0.5898 0.0000
Ni 0.9102 0.6224 0.5000
Ni 0.0898 0.3776 0.5000
Ni 0.3776 0.9102 0.5000
Ni 0.6224 0.0898 0.5000
As 0.2200 0.8900 0.0000
As 0.7800 0.1100 0.0000
As 0.1100 0.2200 0.0000
As 0.8900 0.7800 0.0000
As 0.7200 0.3900 0.5000
As 0.2800 0.6100 0.5000
As 0.6100 0.7200 0.5000
As 0.3900 0.2800 0.5000



2.
VASP calculation (PBE) on a relaxed structure of Nd4Tm3Tl5.

Output
The total energy is -3.8427 eV/atom. The calculation puts the density of states at the Fermi level at 10.748 states/eV/f.u.

abc: 5.7862 8.3828 8.9233
angles: 99.95 71.08 69.81
Atoms (fractional coordinates):
Nd 0.8331 0.2356 0.0981
Nd 0.1875 0.0087 0.6162
Nd 0.8125 0.9913 0.3838
Nd 0.1669 0.7644 0.9019
Tm 0.5441 0.6967 0.2151
Tm 0.0000 0.5000 0.5000
Tm 0.4559 0.3033 0.7849
Tl 0.6495 0.9113 0.7897
Tl 0.5000 0.5000 0.5000
Tl 0.1525 0.5349 0.1602
Tl 0.8475 0.4652 0.8398
Tl 0.3505 0.0887 0.2103



3.
VASP calculation (PBE) on a relaxed structure of AlFeOs2.

Output
The total energy is -8.7180 eV/atom. The calculation puts the density of states at the Fermi level at 3.180 states/eV/f.u.

abc: 3.8105 2.7574 5.8973
angles: 61.88 90.00 90.00
Last column: magnetic moment on the atom in μB.
Atoms (fractional coordinates):
Os 0.0000 0.9976 0.0031  -0.01
Os 0.5000 0.2551 0.2438  0.08
Fe 0.5000 0.7579 0.7430  2.14
Al 0.0000 0.4894 0.5101  -0.02



4.
VASP calculation (PBE) on a relaxed structure of Ti2Nb8Os.

Output
The total energy is -9.2649 eV/atom. The calculation puts the density of states at the Fermi level at 13.429 states/eV/f.u.

abc: 5.1007 7.2184 7.2184
angles: 78.15 113.85 113.85
Atoms (fractional coordinates):
Ti 0.4197 0.2719 0.2719
Ti 0.5803 0.7281 0.7281
Nb 0.6648 0.1592 0.6645
Nb 0.3352 0.3355 0.8408
Nb 0.7218 0.1353 0.1353
Nb 0.2782 0.8647 0.8647
Nb 0.6648 0.6645 0.1592
Nb 0.3352 0.8408 0.3355
Nb 0.1464 0.4315 0.4315
Nb 0.8536 0.5685 0.5685
Os 0.0000 0.0000 0.0000



5.
VASP calculation (PBE) on a relaxed structure of Ac2Nd4Sm.

Output
The total energy is -4.0138 eV/atom. The calculation puts the density of states at the Fermi level at 11.588 states/eV/f.u.

abc: 5.7636 5.7636 10.0385
angles: 106.68 106.68 90.00
Last column: magnetic moment on the atom in μB.
Atoms (fractional coordinates):
Ac 0.6278 0.6278 0.2556  0.00
Ac 0.3722 0.3722 0.7444  0.00
Nd 0.8264 0.8264 0.6528  0.02
Nd 0.1736 0.1736 0.3472  0.02
Nd 0.0000 0.5000 0.0000  0.09
Nd 0.5000 0.0000 0.0000  0.09
Sm 0.0000 0.0000 0.0000  0.20



6.
VASP calculation (PBE) on a relaxed structure of DyZnSn.

Output
The total energy is -3.4912 eV/atom. The calculation puts the density of states at the Fermi level at 2.339 states/eV/f.u.

abc: 4.0712 4.0712 5.3386
angles: 112.41 112.41 90.00
Atoms (fractional coordinates):
Zn 0.9469 0.9469 0.8938
Sn 0.6221 0.6221 0.2441
Dy 0.2810 0.2810 0.5621



7.
VASP calculation (PBE) on a relaxed structure of Pa2CuOs.

Output
The total energy is -8.1634 eV/atom. The calculation puts the density of states at the Fermi level at 4.887 states/eV/f.u.

abc: 3.0189 3.0189 10.5585
angles: 81.78 81.78 60.00
Atoms (fractional coordinates):
Pa 0.0908 0.0908 0.7275
Pa 0.9092 0.9092 0.2725
Os 0.5000 0.5000 0.5000
Cu 0.0000 0.0000 0.0000



8.
VASP calculation (PBE) on a relaxed structure of KAs3.

Output
The total energy is -3.3455 eV/atom. The calculation puts the density of states at the Fermi level at 2.681 states/eV/f.u.

abc: 5.6954 5.6954 5.6954
angles: 90.00 90.00 90.00
Atoms (fractional coordinates):
K 0.0000 0.0000 0.0000
K 0.5000 0.5000 0.5000
As 0.7500 0.5000 0.0000
As 0.2500 0.5000 0.0000
As 0.0000 0.7500 0.5000
As 0.0000 0.2500 0.5000
As 0.5000 0.0000 0.2500
As 0.5000 0.0000 0.7500



9.
VASP calculation (PBE) on a relaxed structure of Zn2AsPb.

Output
The total energy is -2.4677 eV/atom. The calculation puts the density of states at the Fermi level at 1.608 states/eV/f.u.

abc: 4.9479 4.9479 3.5579
angles: 90.00 90.00 103.36
Atoms (fractional coordinates):
As 0.5000 0.0000 0.5000
Pb 0.0000 0.5000 0.5000
Zn 0.0000 0.0000 0.0000
Zn 0.5000 0.5000 0.0000



10.
VASP calculation (PBE) on a relaxed structure of MoRu5.

Output
The total energy is -9.5562 eV/atom. The calculation puts the density of states at the Fermi level at 5.781 states/eV/f.u.

abc: 2.7444 5.1363 6.4532
angles: 76.83 90.00 105.50
Atoms (fractional coordinates):
Mo 0.0001 0.0003 0.0016
Ru 0.3875 0.7750 0.7210
Ru 0.6676 0.3352 0.6646
Ru 0.0551 0.1102 0.3897
Ru 0.3323 0.6645 0.3344
Ru 0.7241 0.4482 0.0554



11.
VASP calculation (PBE) on a relaxed structure of Ag2RuAu.

Output
The total energy is -4.1185 eV/atom. The calculation puts the density of states at the Fermi level at 4.056 states/eV/f.u.

abc: 4.8658 4.8658 4.8658
angles: 128.66 128.66 75.57
Last column: magnetic moment on the atom in μB.
Atoms (fractional coordinates):
Ag 0.0000 0.0000 0.0000  0.04
Ag 0.2500 0.7500 0.5000  0.02
Au 0.5000 0.5000 0.0000  0.08
Ru 0.7500 0.2500 0.5000  1.66



12.
VASP calculation (PBE) on a relaxed structure of CaNiPbAu2.

Output
The total energy is -3.3390 eV/atom. The calculation puts the density of states at the Fermi level at 2.360 states/eV/f.u.

abc: 5.3619 4.8652 5.3619
angles: 90.00 90.00 90.00
Atoms (fractional coordinates):
Pb 0.0000 0.0000 0.0000
Ni 0.0000 0.5000 0.0000
Ca 0.5000 0.5000 0.5000
Au 0.0000 0.0000 0.5000
Au 0.5000 0.0000 0.0000



- Which of these has the highest total energy?
  Zn2AsPb